Record 1
Material: PuPaMoAu
Method: DFT, PBE-GGA
State: relaxed

As for the volume: 21.82 Å³ per atom. As for the density of states at the Fermi level: 2.484 states/eV per atom. As for the formation energy: 30 kJ/mol of formula units.

Lattice parameters (Å, degrees): 7.0414 7.0414 7.0414 90.00 90.00 90.00
Sites, in units of the cell vectors:
Pu1 0.0000 0.0000 0.0000
Pu2 0.0000 0.5000 0.5000
Pu3 0.5000 0.0000 0.5000
Pu4 0.5000 0.5000 0.0000
Pa1 0.0000 0.0000 0.5000
Pa2 0.0000 0.5000 0.0000
Pa3 0.5000 0.0000 0.0000
Pa4 0.5000 0.5000 0.5000
Mo1 0.2500 0.2500 0.2500
Mo2 0.2500 0.7500 0.7500
Mo3 0.7500 0.2500 0.7500
Mo4 0.7500 0.7500 0.2500
Au1 0.2500 0.2500 0.7500
Au2 0.2500 0.7500 0.2500
Au3 0.7500 0.2500 0.2500
Au4 0.7500 0.7500 0.7500

***

Record 2
Material: TbZrTc
Method: DFT, PBE-GGA
State: relaxed

As for the volume: 22.70 Å³ per atom. As for the density of states at the Fermi level: 0.659 states/eV per atom. The polymorph energy (0 for the lowest one) is 0 meV/atom. As for the formation energy: -34 kJ/mol of formula units.

Lattice parameters (Å, degrees): 3.3879 3.3879 11.8653 90.00 90.00 90.00
Sites, in units of the cell vectors:
Tb1 0.0000 0.0000 0.0000
Tb2 0.5000 0.5000 0.5000
Zr1 0.0000 0.0000 0.2713
Zr2 0.5000 0.5000 0.7713
Tc1 0.0000 0.0000 0.6552
Tc2 0.5000 0.5000 0.1552

***

Record 3
Material: Dy8SnPb5
Method: DFT, PBE-GGA
State: relaxed

As for the volume: 29.47 Å³ per atom. As for the density of states at the Fermi level: 0.087 states/eV per atom. As for the formation energy: -768 kJ/mol of formula units.

Lattice parameters (Å, degrees): 8.1228 8.1228 8.1228 109.46 109.46 109.50
Sites, in units of the cell vectors:
Dy1 0.0189 0.1275 0.7511
Dy2 0.2368 0.4852 0.6120
Dy3 0.3751 0.7632 0.2484
Dy4 0.3764 0.2678 0.2489
Dy5 0.5148 0.1267 0.7516
Dy6 0.7322 0.9811 0.1086
Dy7 0.8725 0.6236 0.8914
Dy8 0.8733 0.6249 0.3880
Sn1 0.5000 0.5000 0.0000
Pb1 0.1259 0.0006 0.3743
Pb2 0.2484 0.8741 0.8747
Pb3 0.6263 0.7516 0.6257
Pb4 0.7500 0.2500 0.5000
Pb5 0.9994 0.3737 0.1253

***

Record 4
Material: Li3ScN
Method: DFT, PBE-GGA
State: relaxed

As for the volume: 13.37 Å³ per atom. As for the density of states at the Fermi level: 0.737 states/eV per atom. The polymorph energy (0 for the lowest one) is 0 meV/atom. As for the formation energy without anion corrections: 149 meV/atom.

Lattice parameters (Å, degrees): 4.0587 4.0587 4.0587 90.00 90.00 90.00
Sites, in units of the cell vectors:
Li1 0.0000 0.0000 0.5000
Li2 0.0000 0.5000 0.0000
Li3 0.5000 0.0000 0.0000
Sc1 0.5000 0.5000 0.5000
N1 0.0000 0.0000 0.0000